{
  "formula": "Ce2Si5Ru",
  "functional": "PBE",
  "state": "relaxed",
  "formation_energy_uncorrected_mev_per_atom": -584,
  "final_energy_ev_per_atom": -6.616,
  "spacegroup": "I4mm (107)",
  "lattice_angstrom": [[-2.935, 2.935, 4.385], [2.935, -2.935, 4.385], [2.935, 2.935, -4.385]],
  "species": ["Ce", "Ce", "Si", "Si", "Si", "Si", "Si", "Ru"],
  "fractional_positions": [[0.000, 0.500, 0.500], [0.500, 0.000, 0.500], [0.044, 0.044, 0.578], [0.044, 0.467, 0.000], [0.049, 0.049, 0.000], [0.467, 0.044, 0.000], [0.467, 0.467, 0.422], [0.783, 0.783, 0.000]]
}